Record 1
# TbScBi | OQMD via LeMat-Bulk | PBE | relaxed
# VASP energy, eV per atom: -5.264
# Space-group type: No. 216
data_TbScBi
_chemical_formula_sum 'Tb1 Sc1 Bi1'
_space_group_name_H-M_alt 'P 1'
_space_group_IT_number 1
_space_group_name_Hall 'P 1'
_cell_length_a 5.0499
_cell_length_b 5.0499
_cell_length_c 5.0499
_cell_angle_alpha 60.00
_cell_angle_beta 60.00
_cell_angle_gamma 60.00
loop_
_atom_site_label
_atom_site_type_symbol
_atom_site_fract_x
_atom_site_fract_y
_atom_site_fract_z
_atom_site_occupancy
Tb1 Tb 0.0000 0.0000 0.0000 1
Sc1 Sc 0.5000 0.5000 0.5000 1
Bi1 Bi 0.7500 0.7500 0.7500 1

---

Record 2
# LaPr3Cu4 | OQMD via LeMat-Bulk | PBE | relaxed
# VASP energy, eV per atom: -4.436
# Space-group type: No. 6
# ΔH_f (0 K), eV per atom: -0.172
data_LaPr3Cu4
_chemical_formula_sum 'La1 Pr3 Cu4'
_space_group_name_H-M_alt 'P 1'
_space_group_IT_number 1
_space_group_name_Hall 'P 1'
_cell_length_a 5.6517
_cell_length_b 4.5852
_cell_length_c 7.4006
_cell_angle_alpha 90.00
_cell_angle_beta 90.05
_cell_angle_gamma 90.00
loop_
_atom_site_label
_atom_site_type_symbol
_atom_site_fract_x
_atom_site_fract_y
_atom_site_fract_z
_atom_site_occupancy
La1 La 0.0000 0.0000 0.0000 1
Pr1 Pr 0.2644 0.5000 0.3624 1
Pr2 Pr 0.4999 0.5000 0.8595 1
Pr3 Pr 0.7631 0.0000 0.5007 1
Cu1 Cu 0.0077 0.5000 0.7120 1
Cu2 Cu 0.2566 0.0000 0.6468 1
Cu3 Cu 0.5080 0.0000 0.1478 1
Cu4 Cu 0.7546 0.5000 0.2149 1